Below is crystalline NiB2H8 at its relaxed geometry, with properties calculated at the GGA-PBE level.

The structure in CIF format:
```
data_NiB2H8
_chemical_formula_sum 'Ni1 B2 H8'
_cell_length_a 3.800
_cell_length_b 5.218
_cell_length_c 5.218
_cell_angle_alpha 85.44
_cell_angle_beta 87.02
_cell_angle_gamma 87.02
_space_group_name_H-M_alt 'P 1'
_space_group_IT_number 1
_space_group_name_Hall 'P 1'
loop_
_atom_site_label
_atom_site_type_symbol
_atom_site_fract_x
_atom_site_fract_y
_atom_site_fract_z
_atom_site_occupancy
H1 H 0.222 0.981 0.277 1
H2 H 0.222 0.277 0.981 1
H3 H 0.275 0.355 0.355 1
Ni1 Ni 0.000 0.000 0.000 1
H4 H 0.673 0.173 0.173 1
B1 B 0.656 0.800 0.800 1
H5 H 0.778 0.019 0.723 1
H6 H 0.778 0.723 0.019 1
H7 H 0.725 0.645 0.645 1
H8 H 0.327 0.827 0.827 1
B2 B 0.344 0.200 0.200 1
```

Results
Its total magnetization is 2.0 μB per formula unit. As for the space group: C2/m (12). The calculation puts the total energy at -4.12 eV per atom. For the density, the calculation gives 1.4 g cm⁻³.


Below is crystalline BaIr2Rh at its relaxed geometry, with properties calculated at the GGA-PBE level.

The structure in CIF format:
```
data_BaIr2Rh
_chemical_formula_sum 'Ba1 Ir2 Rh1'
_cell_length_a 4.234
_cell_length_b 2.917
_cell_length_c 6.848
_cell_angle_alpha 77.99
_cell_angle_beta 90.00
_cell_angle_gamma 90.00
_space_group_name_H-M_alt 'P 1'
_space_group_IT_number 1
_space_group_name_Hall 'P 1'
loop_
_atom_site_label
_atom_site_type_symbol
_atom_site_fract_x
_atom_site_fract_y
_atom_site_fract_z
_atom_site_occupancy
Rh1 Rh 0.000 0.344 0.441 1
Ba1 Ba 0.500 0.696 0.740 1
Ir1 Ir 0.000 0.008 0.103 1
Ir2 Ir 0.500 0.451 0.216 1
```

Results
Its total magnetization is 0.0 μB per formula unit. As for the space group: Pm (6). The calculation puts the total energy at -6.40 eV per atom. For the density, the calculation gives 12.5 g cm⁻³. The formation energy is 352 meV/atom.


Below is crystalline RbNa2TlHg at its relaxed geometry, with properties calculated at the GGA-PBE level.

The structure in CIF format:
```
data_RbNa2TlHg
_chemical_formula_sum 'Rb1 Na2 Tl1 Hg1'
_cell_length_a 6.068
_cell_length_b 6.068
_cell_length_c 5.868
_cell_angle_alpha 90.00
_cell_angle_beta 90.00
_cell_angle_gamma 90.00
_space_group_name_H-M_alt 'P 1'
_space_group_IT_number 1
_space_group_name_Hall 'P 1'
loop_
_atom_site_label
_atom_site_type_symbol
_atom_site_fract_x
_atom_site_fract_y
_atom_site_fract_z
_atom_site_occupancy
Hg1 Hg 0.000 0.000 0.500 1
Tl1 Tl 0.000 0.000 0.000 1
Na1 Na 0.000 0.500 0.000 1
Na2 Na 0.500 0.000 0.000 1
Rb1 Rb 0.500 0.500 0.500 1
```

Results
Its total magnetization is 0.0 μB per formula unit. As for the space group: P4/mmm (123). The calculation puts the total energy at -1.30 eV per atom. For the density, the calculation gives 4.1 g cm⁻³. The formation energy is -49 meV/atom.


Below is crystalline BaCo2Ni at its relaxed geometry, with properties calculated at the GGA-PBE level.

The structure in CIF format:
```
data_BaCo2Ni
_chemical_formula_sum 'Ba1 Co2 Ni1'
_cell_length_a 5.288
_cell_length_b 5.288
_cell_length_c 5.288
_cell_angle_alpha 135.49
_cell_angle_beta 135.49
_cell_angle_gamma 64.77
_space_group_name_H-M_alt 'P 1'
_space_group_IT_number 1
_space_group_name_Hall 'P 1'
loop_
_atom_site_label
_atom_site_type_symbol
_atom_site_fract_x
_atom_site_fract_y
_atom_site_fract_z
_atom_site_occupancy
Co1 Co 0.000 0.000 0.000 1
Ni1 Ni 0.250 0.750 0.500 1
Co2 Co 0.500 0.500 0.000 1
Ba1 Ba 0.750 0.250 0.500 1
```

Results
Its total magnetization is 3.7 μB per formula unit. As for the space group: I4/mmm (139). The calculation puts the total energy at -4.51 eV per atom. For the density, the calculation gives 7.3 g cm⁻³. The formation energy is 970 meV/atom.


Below is crystalline Mg2GaB2 at its relaxed geometry, with properties calculated at the GGA-PBE level.

The structure in CIF format:
```
data_Mg2GaB2
_chemical_formula_sum 'Mg4 Ga2 B4'
_cell_length_a 5.945
_cell_length_b 5.945
_cell_length_c 3.648
_cell_angle_alpha 90.00
_cell_angle_beta 90.00
_cell_angle_gamma 90.00
_space_group_name_H-M_alt 'P 1'
_space_group_IT_number 1
_space_group_name_Hall 'P 1'
loop_
_atom_site_label
_atom_site_type_symbol
_atom_site_fract_x
_atom_site_fract_y
_atom_site_fract_z
_atom_site_occupancy
Ga1 Ga 0.500 0.500 0.000 1
B1 B 0.097 0.403 0.000 1
Mg1 Mg 0.681 0.819 0.500 1
B2 B 0.903 0.597 0.000 1
Mg2 Mg 0.819 0.319 0.500 1
Mg3 Mg 0.181 0.681 0.500 1
B3 B 0.597 0.097 0.000 1
Ga2 Ga 0.000 0.000 0.000 1
Mg4 Mg 0.319 0.181 0.500 1
B4 B 0.403 0.903 0.000 1
```

Results
Its total magnetization is 0.0 μB per formula unit. As for the space group: P4/mbm (127). The calculation puts the total energy at -3.73 eV per atom. For the density, the calculation gives 3.6 g cm⁻³. The formation energy is 187 meV/atom.


Below is crystalline V2CrAgPt at its relaxed geometry, with properties calculated at the GGA-PBE level.

The structure in CIF format:
```
data_V2CrAgPt
_chemical_formula_sum 'V2 Cr1 Ag1 Pt1'
_cell_length_a 4.232
_cell_length_b 4.746
_cell_length_c 4.232
_cell_angle_alpha 90.00
_cell_angle_beta 90.00
_cell_angle_gamma 90.00
_space_group_name_H-M_alt 'P 1'
_space_group_IT_number 1
_space_group_name_Hall 'P 1'
loop_
_atom_site_label
_atom_site_type_symbol
_atom_site_fract_x
_atom_site_fract_y
_atom_site_fract_z
_atom_site_occupancy
Cr1 Cr 0.000 0.000 0.000 1
V1 V 0.000 0.000 0.500 1
Ag1 Ag 0.500 0.500 0.500 1
V2 V 0.500 0.000 0.000 1
Pt1 Pt 0.000 0.500 0.000 1
```

Results
Its total magnetization is 0.0 μB per formula unit. As for the space group: P4/mmm (123). The calculation puts the total energy at -6.57 eV per atom. For the density, the calculation gives 8.9 g cm⁻³. The formation energy is 785 meV/atom.


Below is crystalline BaSi2Bi at its relaxed geometry, with properties calculated at the GGA-PBE level.

The structure in CIF format:
```
data_BaSi2Bi
_chemical_formula_sum 'Ba2 Si4 Bi2'
_cell_length_a 8.265
_cell_length_b 8.265
_cell_length_c 6.892
_cell_angle_alpha 53.16
_cell_angle_beta 53.16
_cell_angle_gamma 90.00
_space_group_name_H-M_alt 'P 1'
_space_group_IT_number 1
_space_group_name_Hall 'P 1'
loop_
_atom_site_label
_atom_site_type_symbol
_atom_site_fract_x
_atom_site_fract_y
_atom_site_fract_z
_atom_site_occupancy
Si1 Si 0.072 0.625 0.250 1
Si2 Si 0.678 0.125 0.250 1
Ba1 Ba 0.500 0.500 0.000 1
Ba2 Ba 0.250 0.750 0.500 1
Bi1 Bi 0.000 0.000 0.000 1
Bi2 Bi 0.750 0.250 0.500 1
Si3 Si 0.375 0.322 0.750 1
Si4 Si 0.875 0.928 0.750 1
```

Results
The formation energy from raw total energies comes out at 210 meV per atom. Its total magnetization is 0.0 μB per formula unit. As for the space group: I-42d (122). The calculation puts the total energy at -3.95 eV per atom. For the density, the calculation gives 5.4 g cm⁻³.


Below is crystalline KTa2In at its relaxed geometry, with properties calculated at the GGA-PBE level.

The structure in CIF format:
```
data_KTa2In
_chemical_formula_sum 'K1 Ta2 In1'
_cell_length_a 6.589
_cell_length_b 6.589
_cell_length_c 6.589
_cell_angle_alpha 153.60
_cell_angle_beta 127.13
_cell_angle_gamma 60.05
_space_group_name_H-M_alt 'P 1'
_space_group_IT_number 1
_space_group_name_Hall 'P 1'
loop_
_atom_site_label
_atom_site_type_symbol
_atom_site_fract_x
_atom_site_fract_y
_atom_site_fract_z
_atom_site_occupancy
K1 K 0.754 0.254 0.500 1
Ta1 Ta 0.044 0.044 0.000 1
Ta2 Ta 0.233 0.733 0.500 1
In1 In 0.470 0.470 0.000 1
```

Results
Its total magnetization is 0.4 μB per formula unit. As for the space group: Imm2 (44). The calculation puts the total energy at -5.93 eV per atom. For the density, the calculation gives 8.5 g cm⁻³. The formation energy is 958 meV/atom.


Below is crystalline PmPr2SmY5 at its relaxed geometry, with properties calculated at the GGA-PBE level.

The structure in CIF format:
```
data_PmPr2SmY5
_chemical_formula_sum 'Pm2 Pr4 Sm2 Y10'
_cell_length_a 8.755
_cell_length_b 8.755
_cell_length_c 10.025
_cell_angle_alpha 115.89
_cell_angle_beta 115.89
_cell_angle_gamma 90.00
_space_group_name_H-M_alt 'P 1'
_space_group_IT_number 1
_space_group_name_Hall 'P 1'
loop_
_atom_site_label
_atom_site_type_symbol
_atom_site_fract_x
_atom_site_fract_y
_atom_site_fract_z
_atom_site_occupancy
Pm1 Pm 0.750 0.750 0.500 1
Pr1 Pr 0.882 0.618 0.000 1
Sm1 Sm 0.250 0.750 0.500 1
Sm2 Sm 0.750 0.250 0.500 1
Y1 Y 0.429 0.348 0.277 1
Y2 Y 0.652 0.152 0.723 1
Y3 Y 0.000 0.000 0.000 1
Y4 Y 0.071 0.571 0.723 1
Y5 Y 0.500 0.500 0.000 1
Y6 Y 0.152 0.071 0.723 1
Pr2 Pr 0.382 0.882 0.000 1
Y7 Y 0.929 0.429 0.277 1
Pr3 Pr 0.618 0.118 0.000 1
Y8 Y 0.848 0.929 0.277 1
Pm2 Pm 0.250 0.250 0.500 1
Y9 Y 0.571 0.652 0.723 1
Pr4 Pr 0.118 0.382 0.000 1
Y10 Y 0.348 0.848 0.277 1
```

Results
Its total magnetization is 0.0 μB per formula unit. As for the space group: I4/mcm (140). The calculation puts the total energy at -5.47 eV per atom. For the density, the calculation gives 5.6 g cm⁻³. The formation energy is 239 meV/atom.


Below is crystalline Ba2NaAs at its relaxed geometry, with properties calculated at the GGA-PBE level.

The structure in CIF format:
```
data_Ba2NaAs
_chemical_formula_sum 'Ba2 Na1 As1'
_cell_length_a 4.823
_cell_length_b 4.823
_cell_length_c 10.034
_cell_angle_alpha 76.09
_cell_angle_beta 76.09
_cell_angle_gamma 60.00
_space_group_name_H-M_alt 'P 1'
_space_group_IT_number 1
_space_group_name_Hall 'P 1'
loop_
_atom_site_label
_atom_site_type_symbol
_atom_site_fract_x
_atom_site_fract_y
_atom_site_fract_z
_atom_site_occupancy
Ba1 Ba 0.273 0.273 0.180 1
Na1 Na 0.501 0.501 0.497 1
As1 As 0.666 0.666 0.002 1
Ba2 Ba 0.060 0.060 0.821 1
```

Results
Its total magnetization is 0.0 μB per formula unit. As for the space group: R3m (160). The calculation puts the total energy at -3.11 eV per atom. For the density, the calculation gives 3.2 g cm⁻³. The formation energy is -654 meV/atom.


Below is crystalline DyLuGaPt at its relaxed geometry, with properties calculated at the GGA-PBE level.

The structure in CIF format:
```
data_DyLuGaPt
_chemical_formula_sum 'Dy1 Lu1 Ga1 Pt1'
_cell_length_a 4.953
_cell_length_b 4.953
_cell_length_c 4.953
_cell_angle_alpha 60.00
_cell_angle_beta 60.00
_cell_angle_gamma 60.00
_space_group_name_H-M_alt 'P 1'
_space_group_IT_number 1
_space_group_name_Hall 'P 1'
loop_
_atom_site_label
_atom_site_type_symbol
_atom_site_fract_x
_atom_site_fract_y
_atom_site_fract_z
_atom_site_occupancy
Dy1 Dy 0.000 0.000 0.000 1
Ga1 Ga 0.250 0.250 0.250 1
Pt1 Pt 0.750 0.750 0.750 1
Lu1 Lu 0.500 0.500 0.500 1
```

Results
Its total magnetization is 0.0 μB per formula unit. As for the space group: F-43m (216). The calculation puts the total energy at -5.44 eV per atom. For the density, the calculation gives 11.6 g cm⁻³. The formation energy is -892 meV/atom.


Below is crystalline HgOs2C at its relaxed geometry, with properties calculated at the GGA-PBE level.

The structure in CIF format:
```
data_HgOs2C
_chemical_formula_sum 'Hg2 Os4 C2'
_cell_length_a 5.083
_cell_length_b 5.083
_cell_length_c 6.628
_cell_angle_alpha 67.45
_cell_angle_beta 67.45
_cell_angle_gamma 90.00
_space_group_name_H-M_alt 'P 1'
_space_group_IT_number 1
_space_group_name_Hall 'P 1'
loop_
_atom_site_label
_atom_site_type_symbol
_atom_site_fract_x
_atom_site_fract_y
_atom_site_fract_z
_atom_site_occupancy
Os1 Os 0.875 0.727 0.750 1
Os2 Os 0.273 0.625 0.250 1
Hg1 Hg 0.750 0.250 0.500 1
C1 C 0.500 0.500 0.000 1
Hg2 Hg 0.000 0.000 0.000 1
Os3 Os 0.375 0.523 0.750 1
Os4 Os 0.477 0.125 0.250 1
C2 C 0.250 0.750 0.500 1
```

Results
Its total magnetization is 0.0 μB per formula unit. As for the space group: I-42d (122). The calculation puts the total energy at -6.72 eV per atom. For the density, the calculation gives 13.7 g cm⁻³. The formation energy is 1279 meV/atom.